1.
First-principles (GGA-PBE) data for BaCd2 after structural relaxation, as listed in Alexandria.

```
BaCd2
1.0
-6.335 1.017 0.451
-4.124 -4.742 -1.367
-3.377 -2.784 4.713
Cd Ba
4 2
Cartesian
-2.062 -2.371 -0.684
-5.229 -1.863 -0.458
-3.167 0.509 0.225
-6.918 -3.254 1.898
-3.418 -2.206 2.831
-10.418 -4.303 0.965
```

magnetization: 0.00 μB per cell
formation enthalpy at 0 K: -0.28 eV per atom



2.
First-principles (GGA-PBE) data for BaCd2 after structural relaxation, as listed in Alexandria.

```
BaCd2
1.0
-2.967 2.967 5.941
2.967 -2.967 5.941
2.967 2.967 -5.941
Cd Ba
4 2
Cartesian
3.989 1.022 0.000
-1.022 1.945 5.941
1.022 1.945 0.000
1.945 1.022 5.941
0.000 0.000 8.912
0.000 0.000 2.971
```

magnetization: 0.00 μB per cell
formation enthalpy at 0 K: -0.16 eV per atom



3.
First-principles (GGA-PBE) data for Ba5Cd4 after structural relaxation, as listed in Alexandria.

```
Ba5Cd4
1.0
-3.844 2.516 -0.609
-5.450 -4.128 -0.286
-4.826 0.013 12.880
Cd Ba
4 5
Cartesian
-7.687 -1.430 7.340
-6.971 0.311 10.018
-6.434 -0.168 4.644
-7.149 -1.909 1.967
-3.747 -0.921 2.208
-10.374 -0.677 9.776
-9.854 -1.198 4.346
0.000 0.000 0.000
-4.267 -0.401 7.639
```

magnetization: 0.00 μB per cell
formation enthalpy at 0 K: -0.24 eV per atom



4.
First-principles (GGA-PBE) data for Ba3Cd after structural relaxation, as listed in Alexandria.

```
Ba3Cd
1.0
-2.515 -2.914 2.650
-1.336 -2.121 -7.720
8.689 -7.095 0.445
Ba Cd
6 2
Cartesian
0.607 -3.655 0.678
4.117 -4.975 -1.562
-2.610 -4.436 -3.234
0.720 -7.155 -3.063
4.230 -8.475 -5.303
7.447 -7.694 -1.391
3.941 -8.596 -1.590
0.896 -3.534 -3.035
```

magnetization: 0.01 μB per cell
formation enthalpy at 0 K: -0.14 eV per atom



What did the fourth record say?
First-principles (GGA-PBE) data for Ba3Cd after structural relaxation, as listed in Alexandria.

```
Ba3Cd
1.0
-2.515 -2.914 2.650
-1.336 -2.121 -7.720
8.689 -7.095 0.445
Ba Cd
6 2
Cartesian
0.607 -3.655 0.678
4.117 -4.975 -1.562
-2.610 -4.436 -3.234
0.720 -7.155 -3.063
4.230 -8.475 -5.303
7.447 -7.694 -1.391
3.941 -8.596 -1.590
0.896 -3.534 -3.035
```

magnetization: 0.01 μB per cell
formation enthalpy at 0 K: -0.14 eV per atom